Entry 1:
NdYNp2Se4 | Alexandria via LeMat-Bulk | PBE | relaxed; uncorrected formation energy = -1.42 eV/atom; size of the total moment = 0.11 μB/f.u.; volume = 24.95 Å³/atom; crystal system = monoclinic; energy = -7.80 eV per atom
1.0
7.105 0.000 0.000
0.000 4.132 0.000
-2.419 0.000 6.798
Nd Y Np Se
1 1 2 4
Direct
0.000 0.000 0.000
0.000 0.500 0.500
0.500 0.000 0.500
0.500 0.500 0.000
0.251 0.000 0.746
0.256 0.500 0.258
0.744 0.500 0.742
0.749 0.000 0.254



Entry 2:
NdNpSi2 | Alexandria via LeMat-Bulk | PBE | relaxed; uncorrected formation energy = -0.10 eV/atom; size of the total moment = 3.22 μB/f.u.; volume = 25.25 Å³/atom; crystal system = trigonal; energy = -7.24 eV per atom
1.0
2.138 1.234 6.379
-2.138 1.234 6.379
0.000 -2.469 6.379
Nd Np Si
1 1 2
Direct
0.000 0.000 0.000
0.500 0.500 0.500
0.239 0.239 0.239
0.761 0.761 0.761



Entry 3:
NdNpSi | Alexandria via LeMat-Bulk | PBE | relaxed; uncorrected formation energy = -0.29 eV/atom; size of the total moment = 3.22 μB/f.u.; volume = 24.01 Å³/atom; crystal system = tetragonal; energy = -8.00 eV per atom
1.0
4.110 0.000 0.000
0.000 4.110 0.000
0.000 0.000 8.531
Nd Np Si
2 2 2
Direct
0.250 0.250 0.138
0.750 0.750 0.862
0.250 0.750 0.500
0.750 0.250 0.500
0.250 0.250 0.755
0.750 0.750 0.245



Entry 4:
NdNpSn6 | Alexandria via LeMat-Bulk | PBE | relaxed; size of the total moment = 4.13 μB/f.u.; ΔE_f = -2.58 eV/f.u.; volume = 26.11 Å³/atom; crystal system = tetragonal; energy = -5.54 eV per atom
1.0
4.714 0.000 0.000
0.000 4.714 0.000
0.000 0.000 9.399
Nd Np Sn
1 1 6
Direct
0.000 0.000 0.000
0.000 0.000 0.500
0.000 0.500 0.257
0.000 0.500 0.743
0.500 0.000 0.257
0.500 0.000 0.743
0.500 0.500 0.000
0.500 0.500 0.500